No. 1
Material: Tb2PmRu
Method: DFT, PBE
State: optimized geometry

Structure (POSCAR):
```
Tb2PmRu
1.0
-3.241 0.669 -1.249
-1.189 -1.726 -2.849
-5.530 -8.087 5.011
Ru Tb Pm
1 2 1
direct
0.500 0.500 0.500 Ru
0.108 0.108 0.675 Tb
0.892 0.892 0.325 Tb
0.000 0.000 0.000 Pm
```

As for the distance to the lowest polymorph of the same formula: 385.0 meV per atom. As for the space-group type: R-3m, No. 166. Its total magnetization is 0.00 μB per formula unit. The formation energy comes out at 0.109 eV/atom. The value obtained for the uncorrected energy is -5.713 eV per atom. The calculated volume is 29.28 A^3/atom.

---

No. 2
Material: Tb2PmRu
Method: DFT, PBE
State: optimized geometry

Structure (POSCAR):
```
Tb2PmRu
1.0
-2.604 2.894 0.531
-2.614 -5.411 2.147
3.520 1.628 8.389
Pm Tb Ru
2 4 2
direct
0.424 0.848 0.250 Pm
0.576 0.152 0.750 Pm
0.856 0.711 0.931 Tb
0.144 0.289 0.431 Tb
0.144 0.289 0.069 Tb
0.856 0.711 0.569 Tb
0.245 0.490 0.750 Ru
0.755 0.510 0.250 Ru
```

As for the distance to the lowest polymorph of the same formula: 17.2 meV per atom. As for the space-group type: Cmcm, No. 63. Its total magnetization is 0.00 μB per formula unit. The formation energy comes out at -0.259 eV/atom. The value obtained for the uncorrected energy is -6.081 eV per atom. The calculated volume is 27.56 A^3/atom.

---

No. 3
Material: Tb4Pm3Ru4
Method: DFT, PBE
State: optimized geometry

Structure (POSCAR):
```
Tb4Pm3Ru4
1.0
-3.131 -1.585 0.976
1.269 -6.374 -6.281
4.921 -0.566 8.071
Tb Pm Ru
4 3 4
direct
0.334 0.145 0.669 Tb
0.666 0.476 0.331 Tb
0.334 0.524 0.669 Tb
0.666 0.855 0.331 Tb
0.901 0.901 0.802 Pm
0.000 0.500 0.000 Pm
0.099 0.099 0.198 Pm
0.500 0.771 0.000 Ru
0.254 0.754 0.508 Ru
0.746 0.246 0.492 Ru
0.500 0.229 0.000 Ru
```

As for the space-group type: Immm, No. 71. Its total magnetization is 0.00 μB per formula unit. The formation energy comes out at -0.228 eV/atom. The value obtained for the uncorrected energy is -6.581 eV per atom. The calculated volume is 24.30 A^3/atom.

---

Copy entry 1 word for word.
Material: Tb2PmRu
Method: DFT, PBE
State: optimized geometry

Structure (POSCAR):
```
Tb2PmRu
1.0
-3.241 0.669 -1.249
-1.189 -1.726 -2.849
-5.530 -8.087 5.011
Ru Tb Pm
1 2 1
direct
0.500 0.500 0.500 Ru
0.108 0.108 0.675 Tb
0.892 0.892 0.325 Tb
0.000 0.000 0.000 Pm
```

As for the distance to the lowest polymorph of the same formula: 385.0 meV per atom. As for the space-group type: R-3m, No. 166. Its total magnetization is 0.00 μB per formula unit. The formation energy comes out at 0.109 eV/atom. The value obtained for the uncorrected energy is -5.713 eV per atom. The calculated volume is 29.28 A^3/atom.